A plane-wave DFT calculation with PBE was carried out for crystalline SrTl2FeAg at its relaxed geometry.

Cell lengths 6.205, 6.205, 5.599 Å; angles 90.00, 90.00, 90.00 degrees
Fractional positions:
Sr  0.000  0.000  0.000
Tl  0.000  0.500  0.000
Tl  0.500  0.000  0.000
Fe  0.500  0.500  0.500
Ag  0.000  0.000  0.500

Results
ΔE_f: 1.33 eV per atom
Crystal system: tetragonal

=====

A plane-wave DFT calculation with PBE was carried out for crystalline Mg2TaSi at its relaxed geometry.

Cell lengths 2.850, 2.850, 8.967 Å; angles 90.00, 90.00, 96.18 degrees
Fractional positions:
Mg  0.000  0.000  0.240
Mg  0.000  0.000  0.760
Ta  0.500  0.500  0.500
Si  0.500  0.500  0.000

Results
E_form (uncorrected): 0.2162 eV per atom
Crystal system: orthorhombic

=====

A plane-wave DFT calculation with PBE was carried out for crystalline Zr2MnIr at its relaxed geometry.

Cell lengths 3.282, 3.282, 6.894 Å; angles 90.00, 90.00, 90.00 degrees
Fractional positions:
Zr  0.000  0.000  0.000
Zr  0.500  0.500  0.309
Mn  0.500  0.500  0.745
Ir  0.000  0.000  0.534

Results
ΔE_f: -0.21 eV per atom
Crystal system: tetragonal

=====

no.,volume (Å³/cell),E (eV for the cell shown)
1,215.6,-11.1
2,72.4,-19.6
3,74.2,-36.0